DFT (PBE) results for crystalline Tb8Te3PS3 at its relaxed geometry.

Calculated values
* formation energy (no corrections): -1554.0 meV/atom

Cell lengths 8.120, 8.121, 8.386 Å; angles 118.96, 90.00, 120.00 degrees
Element x y z (fractional)
Tb (0.266, 0.532, 0.299)
Tb (0.763, 0.526, 0.289)
Tb (0.763, 0.026, 0.289)
Tb (0.237, 0.474, 0.711)
Tb (0.237, 0.974, 0.711)
Tb (0.737, 0.974, 0.711)
Tb (0.263, 0.026, 0.289)
Tb (0.734, 0.468, 0.701)
Te (0.000, 0.500, 0.000)
Te (0.500, 0.500, 0.000)
Te (0.000, 0.000, 0.000)
S (0.000, 0.500, 0.500)
S (0.500, 0.000, 0.500)
S (0.500, 0.500, 0.500)
P (0.000, 0.000, 0.500)


DFT (PBE) results for crystalline LiNiBr at its relaxed geometry.

Calculated values
* formation energy (no corrections): 33.6 meV/atom

Cell lengths 3.415, 3.415, 5.440 Å; angles 90.00, 90.00, 120.00 degrees
Last column: magnetic moment on the atom in μB.
Element x y z (fractional)
Ni (0.333, 0.667, 0.694)  0.55
Br (0.000, 0.000, 0.983)  0.05
Li (0.667, 0.333, 0.322)  -0.01


DFT (PBE) results for crystalline Nd3Zn2Au6 at its relaxed geometry.

Calculated values
* energy of formation: -0.591 eV/atom

Cell lengths 4.453, 4.453, 12.846 Å; angles 99.98, 99.98, 90.00 degrees
Element x y z (fractional)
Nd (0.197, 0.197, 0.393)
Nd (0.000, 0.000, 0.000)
Nd (0.803, 0.803, 0.607)
Au (0.318, 0.318, 0.637)
Au (0.602, 0.102, 0.205)
Au (0.102, 0.602, 0.205)
Au (0.682, 0.682, 0.363)
Au (0.898, 0.398, 0.795)
Au (0.398, 0.898, 0.795)
Zn (0.548, 0.548, 0.097)
Zn (0.452, 0.452, 0.903)


DFT (PBE) results for crystalline Li4ErMg5 at its relaxed geometry.

Calculated values
* energy of formation: -0.054 eV/atom

Cell lengths 3.469, 3.469, 17.981 Å; angles 90.00, 90.00, 90.00 degrees
Element x y z (fractional)
Li (0.000, 0.000, 0.406)
Li (0.000, 0.000, 0.217)
Li (0.000, 0.000, 0.594)
Li (0.000, 0.000, 0.783)
Mg (0.500, 0.500, 0.876)
Mg (0.500, 0.500, 0.500)
Mg (0.500, 0.500, 0.687)
Mg (0.500, 0.500, 0.124)
Mg (0.500, 0.500, 0.313)
Er (0.000, 0.000, 0.000)


DFT (PBE) results for crystalline Sc6Si11Ni18 at its relaxed geometry.

Calculated values
* formation energy (no corrections): -764.6 meV/atom

Cell lengths 11.592, 11.592, 11.592 Å; angles 139.40, 116.19, 78.43 degrees
Element x y z (fractional)
Ni (0.269, 0.639, 0.076)
Ni (0.748, 0.421, 0.327)
Ni (0.269, 0.193, 0.630)
Ni (0.731, 0.807, 0.370)
Ni (0.252, 0.579, 0.673)
Ni (0.562, 0.387, 0.514)
Ni (0.569, 0.569, 0.000)
Ni (0.437, 0.361, 0.630)
Ni (0.924, 0.193, 0.269)
Ni (0.094, 0.421, 0.673)
Ni (0.873, 0.048, 0.486)
Ni (0.076, 0.344, 0.269)
Ni (0.438, 0.613, 0.486)
Ni (0.563, 0.193, 0.924)
Ni (0.210, 0.377, 0.167)
Ni (0.562, 0.048, 0.175)
Ni (0.563, 0.639, 0.370)
Ni (0.731, 0.361, 0.924)
Ni (0.987, 0.887, 0.101)
Ni (0.382, 0.000, 0.382)
Ni (0.214, 0.113, 0.101)
Ni (0.076, 0.807, 0.731)
Ni (0.437, 0.807, 0.076)
Ni (0.790, 0.957, 0.167)
Ni (0.438, 0.952, 0.825)
Ni (0.924, 0.656, 0.731)
Ni (0.431, 0.431, 0.000)
Ni (0.127, 0.952, 0.514)
Ni (0.906, 0.579, 0.327)
Ni (0.873, 0.387, 0.825)
Ni (0.127, 0.613, 0.175)
Ni (0.618, 0.000, 0.618)
Ni (0.210, 0.043, 0.833)
Ni (0.786, 0.887, 0.899)
Ni (0.790, 0.623, 0.833)
Ni (0.013, 0.113, 0.899)
Si (0.668, 0.846, 0.177)
Si (0.500, 0.232, 0.732)
Si (0.674, 0.500, 0.174)
Si (0.332, 0.154, 0.823)
Si (0.675, 0.585, 0.574)
Si (0.011, 0.585, 0.910)
Si (0.600, 0.883, 0.717)
Si (0.500, 0.768, 0.268)
Si (0.989, 0.899, 0.574)
Si (0.833, 0.117, 0.717)
Si (0.989, 0.415, 0.090)
Si (0.332, 0.509, 0.177)
Si (0.675, 0.101, 0.090)
Si (0.000, 0.000, 0.000)
Si (0.000, 0.500, 0.500)
Si (0.167, 0.883, 0.283)
Si (0.325, 0.899, 0.910)
Si (0.668, 0.491, 0.823)
Si (0.011, 0.101, 0.426)
Si (0.325, 0.415, 0.426)
Si (0.400, 0.117, 0.283)
Si (0.326, 0.500, 0.826)
Sc (0.817, 0.204, 0.021)
Sc (0.189, 0.689, 0.500)
Sc (0.811, 0.311, 0.500)
Sc (0.370, 0.870, 0.500)
Sc (0.899, 0.715, 0.184)
Sc (0.101, 0.285, 0.816)
Sc (0.630, 0.130, 0.500)
Sc (0.531, 0.715, 0.816)
Sc (0.817, 0.796, 0.613)
Sc (0.183, 0.204, 0.387)
Sc (0.469, 0.285, 0.184)
Sc (0.183, 0.796, 0.979)


DFT (PBE) results for crystalline Ta3VGe4 at its relaxed geometry.

Calculated values
* energy of formation: -0.110 eV/atom

Cell lengths 4.945, 6.391, 8.562 Å; angles 90.00, 90.00, 90.00 degrees
Element x y z (fractional)
Ta (0.680, 0.047, 0.000)
Ta (0.459, 0.369, 0.715)
Ta (0.959, 0.631, 0.785)
Ta (0.959, 0.631, 0.215)
Ta (0.459, 0.369, 0.285)
Ta (0.180, 0.953, 0.500)
Ge (0.141, 0.534, 0.500)
Ge (0.175, 0.907, 0.000)
Ge (0.968, 0.178, 0.744)
Ge (0.468, 0.822, 0.756)
Ge (0.468, 0.822, 0.244)
Ge (0.641, 0.466, 0.000)
Ge (0.675, 0.093, 0.500)
Ge (0.968, 0.178, 0.256)
V (0.166, 0.315, 0.000)
V (0.666, 0.685, 0.500)


Per-record calculated total energy, eV per atom: -5.838 -3.089 -3.911 -2.073 -6.528 -8.004